one) Density functional theory data (PBE) for a geometry-optimized Ho2LuCd structure.

Geometry as POSCAR:
```
Ho2LuCd
1.0
0.0000 3.8103 3.8103
3.8103 0.0000 3.8103
3.8103 3.8103 0.0000
Ho Lu Cd
2 1 1
direct
0.2500 0.2500 0.2500
0.7500 0.7500 0.7500
0.0000 0.0000 0.0000
0.5000 0.5000 0.5000
```

Properties
Mass density ... 9.26 Mg/m³



two) Density functional theory data (PBE) for a geometry-optimized Ho2LuCd structure.

Geometry as POSCAR:
```
Ho2LuCd
1.0
3.5439 0.0000 0.0000
0.0000 3.5439 0.0000
0.0000 0.0000 8.9898
Ho Lu Cd
2 1 1
direct
0.0000 0.0000 0.2320
0.0000 0.0000 0.7680
0.5000 0.5000 0.5000
0.5000 0.5000 0.0000
```

Properties
Mass density ... 9.08 Mg/m³



three) Density functional theory data (PBE) for a geometry-optimized Ho2LuCd structure.

Geometry as POSCAR:
```
Ho2LuCd
1.0
5.2995 0.0000 0.0000
0.0000 5.2995 0.0000
0.0000 0.0000 3.9714
Ho Lu Cd
2 1 1
direct
0.0000 0.5000 0.0000
0.5000 0.0000 0.0000
0.0000 0.0000 0.5000
0.5000 0.5000 0.5000
```

Properties
Mass density ... 9.19 Mg/m³



Relative to the most stable structure, the computed energies are one) 106; two) 0; three) 76, all in meV/atom.



one) Density functional theory data (PBE) for a geometry-optimized HoLuCd structure.

Geometry as POSCAR:
```
HoLuCd
1.0
5.2079 0.0000 0.0000
-2.6040 4.5102 0.0000
0.0000 0.0000 3.4820
Ho Lu Cd
1 1 1
direct
0.0000 0.0000 0.0000
0.3333 0.6667 0.5517
0.6667 0.3333 0.3205
```

Properties
Mass density ... 9.18 Mg/m³



two) Density functional theory data (PBE) for a geometry-optimized HoLuCd structure.

Geometry as POSCAR:
```
HoLuCd
1.0
-1.7680 1.7680 6.5276
1.7680 -1.7680 6.5276
1.7680 1.7680 -6.5276
Ho Lu Cd
1 1 1
direct
0.0000 0.0000 0.0000
0.6853 0.6853 0.0000
0.3394 0.3394 0.0000
```

Properties
Mass density ... 9.20 Mg/m³



Relative to the most stable structure, the computed energies are one) 116; two) 0, all in meV/atom.